# BPdPt3

An optimized crystal structure of BPdPt3 (GGA-PBE, Alexandria).

- ΔE to the lowest computed polymorph: 158 meV per atom
- DFT total energy: -6.009 eV/atom
- Space group: No. 221
- Calculated formation energy: -0.011 eV/atom
- Crystal system: cubic

Unit cell a=4.1912 b=4.1912 c=4.1912 alpha=90.00 beta=90.00 gamma=90.00
Closest atoms and distances in Å follow each position.
Fractional positions:
B (0.0000, 0.0000, 0.0000)  6 Pt 2.10
Pd (0.5000, 0.5000, 0.5000)  12 Pt 2.96
Pt (0.0000, 0.5000, 0.0000)  2 B 2.10
Pt (0.0000, 0.0000, 0.5000)  2 B 2.10
Pt (0.5000, 0.0000, 0.0000)  2 B 2.10